[1]
TlRh2SeI | PBE | relaxed

Properties
Space group: P4/mmm
Total energy, Ry/atom: -0.2629
Size of the total moment, μB/atom: 0.000

Unit cell a=4.915 b=4.915 c=5.669 alpha=90.00 beta=90.00 gamma=90.00
Element x y z (fractional)
Tl (0.000, 0.000, 0.000)
Rh (0.000, 0.500, 0.500)
Rh (0.500, 0.000, 0.500)
Se (0.500, 0.500, 0.000)
I (0.500, 0.500, 0.500)

---

[2]
Ba5Ir4 | PBE | relaxed

Properties
Space group: I4/mmm
Total energy, Ry/atom: -0.3314
Size of the total moment, μB/atom: 0.000
ΔH_f (0 K), meV per atom: 498

Unit cell a=7.518 b=7.518 c=7.518 alpha=96.26 beta=96.26 gamma=141.45
Element x y z (fractional)
Ba (0.000, 0.000, 0.000)
Ba (0.320, 0.320, 0.639)
Ba (0.320, 0.680, 0.000)
Ba (0.680, 0.320, 0.000)
Ba (0.680, 0.680, 0.361)
Ir (0.000, 0.376, 0.376)
Ir (0.000, 0.624, 0.624)
Ir (0.376, 0.000, 0.376)
Ir (0.624, 0.000, 0.624)

---

[3]
Pa3FeGe3 | PBE | relaxed

Properties
Space group: C2/m
Total energy, Ry/atom: -0.5665
Size of the total moment, μB/atom: 0.000
ΔH_f (0 K), meV per atom: -449

Unit cell a=5.661 b=5.661 c=13.963 alpha=103.32 beta=103.32 gamma=41.61
Element x y z (fractional)
Pa (0.036, 0.036, 0.385)
Pa (0.078, 0.078, 0.921)
Pa (0.270, 0.270, 0.243)
Pa (0.730, 0.730, 0.757)
Pa (0.922, 0.922, 0.079)
Pa (0.964, 0.964, 0.615)
Fe (0.252, 0.252, 0.625)
Fe (0.748, 0.748, 0.375)
Ge (0.349, 0.349, 0.462)
Ge (0.351, 0.351, 0.920)
Ge (0.452, 0.452, 0.764)
Ge (0.548, 0.548, 0.236)
Ge (0.649, 0.649, 0.080)
Ge (0.651, 0.651, 0.538)

---

[4]
PuMg2Zn2Ge2 | PBE | relaxed

Properties
Space group: R-3m
Total energy, Ry/atom: -0.3201
Size of the total moment, μB/atom: 0.831
ΔH_f (0 K), meV per atom: -168

Unit cell a=8.223 b=8.223 c=8.223 alpha=31.53 beta=31.53 gamma=31.53
Element x y z (fractional)
Pu (0.000, 0.000, 0.000)
Mg (0.139, 0.139, 0.139)
Mg (0.861, 0.861, 0.861)
Zn (0.437, 0.437, 0.437)
Zn (0.563, 0.563, 0.563)
Ge (0.262, 0.262, 0.262)
Ge (0.738, 0.738, 0.738)

---

[5]
BePdS | PBE | relaxed

Properties
Space group: Pnma
Total energy, Ry/atom: -0.3475
Size of the total moment, μB/atom: 0.000

Unit cell a=5.719 b=3.367 c=10.226 alpha=90.00 beta=90.00 gamma=90.00
Element x y z (fractional)
Be (0.020, 0.250, 0.094)
Be (0.480, 0.750, 0.594)
Be (0.520, 0.250, 0.406)
Be (0.980, 0.750, 0.906)
Pd (0.001, 0.250, 0.745)
Pd (0.499, 0.750, 0.245)
Pd (0.501, 0.250, 0.755)
Pd (0.999, 0.750, 0.255)
S (0.234, 0.750, 0.063)
S (0.266, 0.250, 0.563)
S (0.734, 0.750, 0.437)
S (0.766, 0.250, 0.937)

---

[6]
LaCuBrO2 | PBE | relaxed

Properties
Space group: P2_1/m
Total energy, Ry/atom: -0.4468
Size of the total moment, μB/atom: 0.000

Unit cell a=6.893 b=4.164 c=7.495 alpha=90.00 beta=91.80 gamma=90.00
Element x y z (fractional)
La (0.203, 0.250, 0.114)
La (0.797, 0.750, 0.886)
Cu (0.004, 0.250, 0.630)
Cu (0.996, 0.750, 0.370)
Br (0.466, 0.250, 0.771)
Br (0.534, 0.750, 0.229)
O (0.029, 0.250, 0.381)
O (0.043, 0.750, 0.122)
O (0.957, 0.250, 0.878)
O (0.971, 0.750, 0.619)

---

[7]
TiBeBi3 | PBE | relaxed

Properties
Space group: Pm-3m
Total energy, Ry/atom: -0.2882
Size of the total moment, μB/atom: 0.000
ΔH_f (0 K), meV per atom: 731
Relative energy among the computed polymorphs, kcal/mol of atoms: 0.00

Unit cell a=5.383 b=5.383 c=5.383 alpha=90.00 beta=90.00 gamma=90.00
Element x y z (fractional)
Ti (0.000, 0.000, 0.000)
Be (0.500, 0.500, 0.500)
Bi (0.000, 0.000, 0.500)
Bi (0.000, 0.500, 0.000)
Bi (0.500, 0.000, 0.000)

---

[8]
Ce2PmCuS5 | PBE | relaxed

Properties
Space group: Cmc2_1
Total energy, Ry/atom: -0.4640
Size of the total moment, μB/atom: 0.199

Unit cell a=8.554 b=8.554 c=11.975 alpha=90.00 beta=90.00 gamma=153.60
Element x y z (fractional)
Ce (0.115, 0.885, 0.500)
Ce (0.115, 0.885, 0.844)
Ce (0.885, 0.115, 0.000)
Ce (0.885, 0.115, 0.344)
Pm (0.178, 0.822, 0.179)
Pm (0.822, 0.178, 0.679)
Cu (0.452, 0.548, 0.573)
Cu (0.548, 0.452, 0.073)
S (0.012, 0.988, 0.163)
S (0.301, 0.699, 0.846)
S (0.318, 0.682, 0.509)
S (0.346, 0.654, 0.172)
S (0.492, 0.508, 0.900)
S (0.508, 0.492, 0.400)
S (0.654, 0.346, 0.672)
S (0.682, 0.318, 0.009)
S (0.699, 0.301, 0.346)
S (0.988, 0.012, 0.663)

---

[9]
Nd4Tl2Cu | PBE | relaxed

Properties
Space group: C2/m
Total energy, Ry/atom: -0.3019
Size of the total moment, μB/atom: 0.000
ΔH_f (0 K), meV per atom: -122

Unit cell a=9.047 b=9.047 c=7.040 alpha=112.47 beta=112.47 gamma=24.21
Element x y z (fractional)
Nd (0.084, 0.084, 0.429)
Nd (0.382, 0.382, 0.064)
Nd (0.618, 0.618, 0.936)
Nd (0.916, 0.916, 0.571)
Tl (0.253, 0.253, 0.307)
Tl (0.747, 0.747, 0.693)
Cu (0.000, 0.000, 0.000)

---

[10]
Cr2TcNi6 | PBE | relaxed

Properties
Space group: C2/m
Total energy, Ry/atom: -0.5200
Size of the total moment, μB/atom: 0.003
ΔH_f (0 K), meV per atom: 70

Unit cell a=5.716 b=5.716 c=7.612 alpha=102.56 beta=102.56 gamma=25.17
Element x y z (fractional)
Cr (0.170, 0.170, 0.234)
Cr (0.830, 0.830, 0.766)
Tc (0.500, 0.500, 0.000)
Ni (0.166, 0.166, 0.552)
Ni (0.171, 0.171, 0.890)
Ni (0.498, 0.498, 0.334)
Ni (0.502, 0.502, 0.666)
Ni (0.829, 0.829, 0.110)
Ni (0.834, 0.834, 0.448)

---

[11]
La2Pr2HPb2 | PBE | relaxed

Properties
Space group: I4/mmm
Total energy, Ry/atom: -0.3549
Size of the total moment, μB/atom: 0.132

Unit cell a=9.634 b=9.634 c=9.634 alpha=151.08 beta=151.08 gamma=41.36
Element x y z (fractional)
La (0.178, 0.178, 0.000)
La (0.822, 0.822, 0.000)
Pr (0.000, 0.500, 0.500)
Pr (0.500, 0.000, 0.500)
H (0.000, 0.000, 0.000)
Pb (0.364, 0.364, 0.000)
Pb (0.636, 0.636, 0.000)

---

[12]
Nd2Al3GaAg4 | PBE | relaxed

Properties
Space group: P-4m2
Total energy, Ry/atom: -0.2837
Size of the total moment, μB/atom: 0.000
ΔH_f (0 K), meV per atom: -340

Unit cell a=4.405 b=4.405 c=10.802 alpha=90.00 beta=90.00 gamma=90.00
Element x y z (fractional)
Nd (0.000, 0.500, 0.248)
Nd (0.500, 0.000, 0.752)
Al (0.000, 0.000, 0.000)
Al (0.000, 0.500, 0.633)
Al (0.500, 0.000, 0.367)
Ga (0.500, 0.500, 0.000)
Ag (0.000, 0.000, 0.500)
Ag (0.000, 0.500, 0.867)
Ag (0.500, 0.000, 0.133)
Ag (0.500, 0.500, 0.500)

---

[13]
Pm4Co2Ag5 | PBE | relaxed

Properties
Space group: P2/m
Total energy, Ry/atom: -0.3312
Size of the total moment, μB/atom: 0.000
ΔH_f (0 K), meV per atom: -191

Unit cell a=7.432 b=3.833 c=8.756 alpha=90.00 beta=94.73 gamma=90.00
Element x y z (fractional)
Pm (0.191, 0.000, 0.343)
Pm (0.229, 0.000, 0.921)
Pm (0.771, 0.000, 0.079)
Pm (0.809, 0.000, 0.657)
Co (0.061, 0.500, 0.126)
Co (0.939, 0.500, 0.874)
Ag (0.159, 0.500, 0.634)
Ag (0.447, 0.500, 0.166)
Ag (0.500, 0.500, 0.500)
Ag (0.553, 0.500, 0.834)
Ag (0.841, 0.500, 0.366)

---

[14]
GaRe2W | PBE | relaxed

Properties
Space group: R-3m
Total energy, Ry/atom: -0.7219
Size of the total moment, μB/atom: 0.000
ΔH_f (0 K), meV per atom: 398

Unit cell a=9.689 b=9.689 c=9.689 alpha=16.74 beta=16.74 gamma=16.74
Element x y z (fractional)
Ga (0.000, 0.000, 0.000)
Re (0.090, 0.090, 0.090)
Re (0.910, 0.910, 0.910)
W (0.500, 0.500, 0.500)

---

[15]
Er4InOs | PBE | relaxed

Properties
Space group: C2/m
Total energy, Ry/atom: -0.4094
Size of the total moment, μB/atom: 0.000
ΔH_f (0 K), meV per atom: -201
Relative energy among the computed polymorphs, kcal/mol of atoms: 3.67

Unit cell a=4.971 b=4.971 c=8.571 alpha=106.85 beta=106.85 gamma=59.89
Element x y z (fractional)
Er (0.114, 0.114, 0.340)
Er (0.365, 0.365, 0.095)
Er (0.635, 0.635, 0.905)
Er (0.886, 0.886, 0.660)
In (0.500, 0.500, 0.500)
Os (0.000, 0.000, 0.000)

---

[16]
Y2Ga2Cu15 | PBE | relaxed

Properties
Space group: R-3m
Total energy, Ry/atom: -0.3229
Size of the total moment, μB/atom: 0.000
ΔH_f (0 K), meV per atom: -160

Unit cell a=6.512 b=6.512 c=6.512 alpha=82.70 beta=82.70 gamma=82.70
Element x y z (fractional)
Y (0.152, 0.152, 0.152)
Y (0.848, 0.848, 0.848)
Ga (0.397, 0.397, 0.397)
Ga (0.603, 0.603, 0.603)
Cu (0.000, 0.500, 0.500)
Cu (0.152, 0.152, 0.655)
Cu (0.152, 0.655, 0.152)
Cu (0.199, 0.500, 0.801)
Cu (0.199, 0.801, 0.500)
Cu (0.345, 0.848, 0.848)
Cu (0.500, 0.000, 0.500)
Cu (0.500, 0.199, 0.801)
Cu (0.500, 0.500, 0.000)
Cu (0.500, 0.801, 0.199)
Cu (0.655, 0.152, 0.152)
Cu (0.801, 0.199, 0.500)
Cu (0.801, 0.500, 0.199)
Cu (0.848, 0.345, 0.848)
Cu (0.848, 0.848, 0.345)

---

[17]
Tb2TaGa2Ru5 | PBE | relaxed

Properties
Space group: P4/mbm
Total energy, Ry/atom: -0.5697
Size of the total moment, μB/atom: 0.000
ΔH_f (0 K), meV per atom: -396

Unit cell a=10.136 b=10.136 c=3.337 alpha=90.00 beta=90.00 gamma=90.00
Element x y z (fractional)
Tb (0.171, 0.329, 0.000)
Tb (0.329, 0.829, 0.000)
Tb (0.671, 0.171, 0.000)
Tb (0.829, 0.671, 0.000)
Ta (0.000, 0.000, 0.000)
Ta (0.500, 0.500, 0.000)
Ga (0.128, 0.628, 0.000)
Ga (0.372, 0.128, 0.000)
Ga (0.628, 0.872, 0.000)
Ga (0.872, 0.372, 0.000)
Ru (0.000, 0.500, 0.500)
Ru (0.066, 0.802, 0.500)
Ru (0.198, 0.066, 0.500)
Ru (0.302, 0.566, 0.500)
Ru (0.434, 0.302, 0.500)
Ru (0.500, 0.000, 0.500)
Ru (0.566, 0.698, 0.500)
Ru (0.698, 0.434, 0.500)
Ru (0.802, 0.934, 0.500)
Ru (0.934, 0.198, 0.500)

---

[18]
LiRhNF2 | PBE | relaxed

Properties
Space group: P4/mmm
Total energy, Ry/atom: -0.3307
Size of the total moment, μB/atom: 0.131
Relative energy among the computed polymorphs, kcal/mol of atoms: 14.40

Unit cell a=3.294 b=3.294 c=4.627 alpha=90.00 beta=90.00 gamma=90.00
Element x y z (fractional)
Li (0.000, 0.000, 0.000)
Rh (0.500, 0.500, 0.500)
N (0.000, 0.000, 0.500)
F (0.000, 0.500, 0.000)
F (0.500, 0.000, 0.000)

---

[19]
HfFe2PH | PBE | relaxed

Properties
Space group: Cmcm
Total energy, Ry/atom: -0.5664
Size of the total moment, μB/atom: 0.243

Unit cell a=5.087 b=5.087 c=6.524 alpha=90.00 beta=90.00 gamma=139.49
Element x y z (fractional)
Hf (0.058, 0.942, 0.750)
Hf (0.942, 0.058, 0.250)
Fe (0.339, 0.661, 0.557)
Fe (0.339, 0.661, 0.943)
Fe (0.661, 0.339, 0.057)
Fe (0.661, 0.339, 0.443)
P (0.225, 0.775, 0.250)
P (0.775, 0.225, 0.750)
H (0.500, 0.500, 0.000)
H (0.500, 0.500, 0.500)

---

[20]
TlIn4Pb7 | PBE | relaxed

Properties
Space group: C2/m
Total energy, Ry/atom: -0.2326
Size of the total moment, μB/atom: 0.000
ΔH_f (0 K), meV per atom: 109

Unit cell a=7.070 b=7.070 c=11.581 alpha=116.84 beta=116.84 gamma=51.07
Element x y z (fractional)
Tl (0.000, 0.000, 0.000)
In (0.276, 0.276, 0.689)
In (0.425, 0.425, 0.234)
In (0.575, 0.575, 0.766)
In (0.724, 0.724, 0.311)
Pb (0.041, 0.041, 0.383)
Pb (0.207, 0.207, 0.920)
Pb (0.338, 0.338, 0.450)
Pb (0.500, 0.500, 0.000)
Pb (0.662, 0.662, 0.550)
Pb (0.793, 0.793, 0.080)
Pb (0.959, 0.959, 0.617)